[1]
Below is a relaxed CsGdNiSe3 crystal, with properties calculated at the GGA-PBE level.

For the volume, the calculation gives 31.05 Å³/atom. As for the total DFT energy (no corrections): -4.791 eV per atom.

a b c (Å): 16.3382 4.1181 11.0774
angles (deg): 90.00 90.00 90.00
Last column: magnetic moment on the atom in μB.
Fractional coordinates of all 24 atoms:
1 Cs 0.2677 0.7500 0.0219  0.00
2 Cs 0.7677 0.7500 0.4781  0.00
3 Cs 0.2323 0.2500 0.5219  0.00
4 Cs 0.7323 0.2500 0.9781  0.00
5 Gd 0.9795 0.7500 0.1546  0.01
6 Gd 0.4795 0.7500 0.3454  0.01
7 Gd 0.5205 0.2500 0.6546  0.01
8 Gd 0.0205 0.2500 0.8454  0.01
9 Ni 0.4874 0.2500 0.0894  0.76
10 Ni 0.9874 0.2500 0.4106  0.76
11 Ni 0.0126 0.7500 0.5894  0.76
12 Ni 0.5126 0.7500 0.9106  0.76
13 Se 0.0930 0.2500 0.0780  0.02
14 Se 0.5626 0.7500 0.1079  0.16
15 Se 0.3795 0.2500 0.2399  0.10
16 Se 0.8795 0.2500 0.2601  0.10
17 Se 0.0626 0.7500 0.3921  0.16
18 Se 0.5930 0.2500 0.4220  0.02
19 Se 0.4070 0.7500 0.5780  0.02
20 Se 0.9374 0.2500 0.6079  0.16
21 Se 0.1205 0.7500 0.7399  0.10
22 Se 0.6205 0.7500 0.7601  0.10
23 Se 0.4374 0.2500 0.8921  0.16
24 Se 0.9070 0.7500 0.9220  0.02

***

[2]
Below is a relaxed YThCd crystal, with properties calculated at the GGA-PBE level.

As for the formation energy: 67.70 kJ/mol of atoms. For the volume, the calculation gives 32.23 Å³/atom.

a b c (Å): 5.1519 5.1519 5.1519
angles (deg): 60.00 60.00 60.00
Last column: magnetic moment on the atom in μB.
Fractional coordinates of all 3 atoms:
1 Cd 0.2500 0.2500 0.2500  0.00
2 Th 0.7500 0.7500 0.7500  0.43
3 Y 0.0000 0.0000 0.0000  0.32

***

[3]
Below is a relaxed Tm2H crystal, with properties calculated at the GGA-PBE level.

For the volume, the calculation gives 37.77 Å³/atom. As for the total DFT energy (no corrections): -3.485 eV per atom.

a b c (Å): 6.8434 6.8434 6.8434
angles (deg): 60.00 60.00 60.00
Fractional coordinates of all 6 atoms:
1 H 0.2500 0.2500 0.2500
2 H 0.5000 0.5000 0.5000
3 Tm 0.3750 0.3750 0.3750
4 Tm 0.8750 0.3750 0.3750
5 Tm 0.3750 0.8750 0.3750
6 Tm 0.3750 0.3750 0.8750

***

[4]
Below is a relaxed K2CuPdBr6 crystal, with properties calculated at the GGA-PBE level.

For the volume, the calculation gives 28.11 Å³/atom. As for the total DFT energy (no corrections): -2.977 eV per atom.

a b c (Å): 7.3530 7.3530 7.3530
angles (deg): 60.00 60.00 60.00
Fractional coordinates of all 10 atoms:
1 Br 0.7505 0.2495 0.2495
2 Br 0.7505 0.7505 0.2495
3 Br 0.2495 0.7505 0.2495
4 Br 0.2495 0.2495 0.7505
5 Br 0.7505 0.2495 0.7505
6 Br 0.2495 0.7505 0.7505
7 Cu 0.0000 0.0000 0.0000
8 K 0.2500 0.2500 0.2500
9 K 0.7500 0.7500 0.7500
10 Pd 0.5000 0.5000 0.5000

***

[5]
Below is a relaxed SrNdAgTe2S crystal, with properties calculated at the GGA-PBE level.

For the volume, the calculation gives 29.02 Å³/atom. As for the total DFT energy (no corrections): -4.623 eV per atom.

a b c (Å): 7.6665 7.6665 10.8241
angles (deg): 90.00 90.00 146.81
Fractional coordinates of all 12 atoms:
1 Ag 0.4798 0.5202 0.2500
2 Ag 0.5202 0.4798 0.7500
3 Nd 0.0000 0.0000 0.0000
4 Nd 0.0000 0.0000 0.5000
5 S 0.0778 0.9222 0.2500
6 S 0.9222 0.0778 0.7500
7 Sr 0.7255 0.2745 0.2500
8 Sr 0.2745 0.7255 0.7500
9 Te 0.3493 0.6507 0.0609
10 Te 0.3493 0.6507 0.4391
11 Te 0.6507 0.3493 0.5609
12 Te 0.6507 0.3493 0.9391

***

[6]
Below is a relaxed KLiPt crystal, with properties calculated at the GGA-PBE level.

For the volume, the calculation gives 27.31 Å³/atom. As for the total DFT energy (no corrections): -2.563 eV per atom.

a b c (Å): 4.8751 4.8751 4.8751
angles (deg): 60.00 60.00 60.00
Fractional coordinates of all 3 atoms:
1 K 0.0000 0.0000 0.0000
2 Li 0.7500 0.7500 0.7500
3 Pt 0.2500 0.2500 0.2500

***

[7]
Below is a relaxed U2Si5Os3 crystal, with properties calculated at the GGA-PBE level.

For the volume, the calculation gives 16.52 Å³/atom. As for the total DFT energy (no corrections): -8.847 eV per atom.

a b c (Å): 8.1120 8.1120 5.7561
angles (deg): 109.63 109.63 92.78
Last column: magnetic moment on the atom in μB.
Fractional coordinates of all 20 atoms:
1 Os 0.7477 0.4575 0.1378  -0.10
2 Os 0.0004 0.9996 0.2500  -0.03
3 Os 0.5425 0.2523 0.3622  -0.10
4 Os 0.4575 0.7477 0.6378  -0.10
5 Os 0.9996 0.0004 0.7500  -0.03
6 Os 0.2523 0.5425 0.8622  -0.10
7 Si 0.2627 0.0632 0.1638  0.00
8 Si 0.7955 0.2045 0.2500  -0.01
9 Si 0.4842 0.5158 0.2500  0.00
10 Si 0.2240 0.7760 0.2500  -0.01
11 Si 0.9368 0.7373 0.3362  0.00
12 Si 0.0632 0.2627 0.6638  0.00
13 Si 0.7760 0.2240 0.7500  -0.01
14 Si 0.5158 0.4842 0.7500  0.00
15 Si 0.2045 0.7955 0.7500  -0.01
16 Si 0.7373 0.9368 0.8362  0.00
17 U 0.5952 0.8685 0.2385  1.78
18 U 0.1315 0.4048 0.2615  1.80
19 U 0.8685 0.5952 0.7385  1.80
20 U 0.4048 0.1315 0.7615  1.78

***

[8]
Below is a relaxed Na2Mg2AlGePt2 crystal, with properties calculated at the GGA-PBE level.

For the volume, the calculation gives 17.01 Å³/atom. As for the total DFT energy (no corrections): -3.673 eV per atom.

a b c (Å): 4.5766 4.5766 6.4954
angles (deg): 90.00 90.00 90.00
Fractional coordinates of all 8 atoms:
1 Al 0.0000 0.0000 0.0000
2 Ge 0.5000 0.5000 0.5000
3 Mg 0.5000 0.5000 0.0000
4 Mg 0.0000 0.0000 0.5000
5 Na 0.5000 0.0000 0.2523
6 Na 0.0000 0.5000 0.7477
7 Pt 0.0000 0.5000 0.2435
8 Pt 0.5000 0.0000 0.7565

***

[9]
Below is a relaxed ThTaAl crystal, with properties calculated at the GGA-PBE level.

For the volume, the calculation gives 24.97 Å³/atom. As for the total DFT energy (no corrections): -7.194 eV per atom.

a b c (Å): 4.7319 4.7319 4.7319
angles (deg): 60.00 60.00 60.00
Fractional coordinates of all 3 atoms:
1 Al 0.0000 0.0000 0.0000
2 Ta 0.2500 0.2500 0.2500
3 Th 0.7500 0.7500 0.7500

***

[10]
Below is a relaxed HfRe2Hg crystal, with properties calculated at the GGA-PBE level.

As for the formation energy: 44.37 kJ/mol of atoms. For the volume, the calculation gives 17.43 Å³/atom.

a b c (Å): 4.6202 4.6202 4.6202
angles (deg): 60.00 60.00 60.00
Fractional coordinates of all 4 atoms:
1 Hf 0.2500 0.2500 0.2500
2 Hg 0.5000 0.5000 0.5000
3 Re 0.0000 0.0000 0.0000
4 Re 0.7500 0.7500 0.7500

***

[11]
Below is a relaxed TmAgSnO3 crystal, with properties calculated at the GGA-PBE level.

For the volume, the calculation gives 15.98 Å³/atom. As for the total DFT energy (no corrections): -6.316 eV per atom.

a b c (Å): 8.2690 6.9850 6.9850
angles (deg): 151.61 90.00 90.00
Fractional coordinates of all 12 atoms:
1 Ag 0.2500 0.6757 0.3243
2 Ag 0.7500 0.3243 0.6757
3 O 0.2500 0.9410 0.0590
4 O 0.0043 0.6054 0.3946
5 O 0.4957 0.6054 0.3946
6 O 0.5043 0.3946 0.6054
7 O 0.9957 0.3946 0.6054
8 O 0.7500 0.0590 0.9410
9 Sn 0.7500 0.6602 0.3398
10 Sn 0.2500 0.3398 0.6602
11 Tm 0.0000 0.0000 0.0000
12 Tm 0.5000 0.0000 0.0000

***

[12]
Below is a relaxed TmCoCu crystal, with properties calculated at the GGA-PBE level.

As for the formation energy: 60.90 kJ/mol of atoms. For the volume, the calculation gives 19.18 Å³/atom.

a b c (Å): 4.3335 4.3335 4.3335
angles (deg): 60.00 60.00 60.00
Fractional coordinates of all 3 atoms:
1 Co 0.2500 0.2500 0.2500
2 Cu 0.7500 0.7500 0.7500
3 Tm 0.0000 0.0000 0.0000